1.
Below is crystalline K3Tl2Se4 at its relaxed geometry, with properties calculated at the PBE-GGA level.

E	-57.39	eV/cell
space-group type	C2/c
mass density	4.30	g/cm³
energy relative to the elements, uncorrected	-0.748	eV/atom

Unit cell a=8.0324 b=9.0898 c=9.0898 alpha=78.60 beta=89.35 gamma=89.35
Last column: nearest neighbours and their distance in Å.
Atoms (fractional coordinates):
Tl: 0.0960 0.5761 0.8205  4 Se 2.76-2.82
Tl: 0.4040 0.1795 0.4239  4 Se 2.76-2.82
Tl: 0.9040 0.4239 0.1795  4 Se 2.76-2.82
Tl: 0.5960 0.8205 0.5761  4 Se 2.76-2.82
Se: 0.9842 0.2835 0.9382  2 Tl 2.81-2.82
Se: 0.5710 0.4244 0.2649  2 Tl 2.76-2.78
Se: 0.4290 0.5756 0.7351  2 Tl 2.76-2.78
Se: 0.0710 0.2649 0.4244  2 Tl 2.76-2.78
Se: 0.5158 0.0618 0.7165  2 Tl 2.81-2.82
Se: 0.9290 0.7351 0.5756  2 Tl 2.76-2.78
Se: 0.0158 0.7165 0.0618  2 Tl 2.81-2.82
Se: 0.4842 0.9382 0.2835  2 Tl 2.81-2.82
K: 0.5760 0.7475 0.0051  5 Se 3.39-3.58
K: 0.0760 0.0051 0.7475  5 Se 3.39-3.58
K: 0.7500 0.3866 0.6134  6 Se 3.38-3.48
K: 0.9240 0.9949 0.2525  5 Se 3.39-3.58
K: 0.2500 0.6134 0.3866  6 Se 3.38-3.48
K: 0.4240 0.2525 0.9949  5 Se 3.39-3.58

=====

2.
Below is crystalline KTl2Se at its relaxed geometry, with properties calculated at the PBE-GGA level.

E	-10.91	eV/cell
space-group type	Imm2
mass density	6.30	g/cm³
energy relative to the elements, uncorrected	-0.398	eV/atom

Unit cell a=7.0028 b=7.0028 c=7.0028 alpha=144.42 beta=135.45 gamma=58.26
Last column: nearest neighbours and their distance in Å.
Atoms (fractional coordinates):
Tl: 0.0696 0.0696 0.0000  2 Se 2.97
Tl: 0.7438 0.2438 0.5000  2 Tl 3.40, 4 Se 3.41, 2 K 3.65
K: 0.4485 0.4485 0.0000  2 Se 3.35, 6 Tl 3.65-3.72
Se: 0.2382 0.7382 0.5000  2 Tl 2.97

=====

3.
Below is crystalline KTl2Se at its relaxed geometry, with properties calculated at the PBE-GGA level.

E	-22.01	eV/cell
space-group type	I-42d
mass density	6.40	g/cm³
energy relative to the elements, uncorrected	-0.422	eV/atom

Unit cell a=9.1320 b=9.1320 c=7.2417 alpha=50.91 beta=50.91 gamma=90.00
Last column: nearest neighbours and their distance in Å.
Atoms (fractional coordinates):
Tl: 0.8750 0.9218 0.7500  2 Se 3.05, 2 Tl 3.39
Tl: 0.0782 0.6250 0.2500  2 Se 3.05, 2 Tl 3.39
Tl: 0.3750 0.3282 0.7500  2 Se 3.05, 2 Tl 3.39
Tl: 0.6718 0.1250 0.2500  2 Se 3.05, 2 Tl 3.39
Se: 0.7500 0.2500 0.5000  4 Tl 3.05, 2 K 3.28
Se: 0.0000 0.0000 0.0000  4 Tl 3.05, 2 K 3.28
K: 0.2500 0.7500 0.5000  2 Se 3.28, 4 Tl 3.64
K: 0.5000 0.5000 0.0000  2 Se 3.28, 4 Tl 3.64

=====

4.
Below is crystalline KTlSe4 at its relaxed geometry, with properties calculated at the PBE-GGA level.

E	-18.57	eV/cell
space-group type	F-43m
mass density	5.99	g/cm³
energy relative to the elements, uncorrected	-0.194	eV/atom

Unit cell a=6.0307 b=6.0307 c=6.0307 alpha=60.00 beta=60.00 gamma=60.00
Last column: nearest neighbours and their distance in Å.
Atoms (fractional coordinates):
K: 0.0000 0.0000 0.0000  12 Se 3.54, 4 Tl 3.69
Se: 0.3755 0.3755 0.3755  6 Se 3.00-3.03
Se: 0.3755 0.3755 0.8736  6 Se 3.00-3.03
Se: 0.8736 0.3755 0.3755  6 Se 3.00-3.03
Se: 0.3755 0.8736 0.3755  6 Se 3.00-3.03
Tl: 0.7500 0.7500 0.7500  12 Se 3.53, 4 K 3.69

=====

5.
Below is crystalline KTlSe2 at its relaxed geometry, with properties calculated at the PBE-GGA level.

E	-12.17	eV/cell
space-group type	Cmmm
mass density	6.01	g/cm³
energy relative to the elements, uncorrected	-0.435	eV/atom

Unit cell a=9.0120 b=5.9787 c=3.1035 alpha=90.03 beta=69.82 gamma=131.62
Last column: nearest neighbours and their distance in Å.
Atoms (fractional coordinates):
K: 0.5000 0.5000 0.0000  2 K 3.10, 8 Se 3.37
Se: 0.5000 0.0000 0.5000  2 Se 3.10, 4 Tl 3.37, 4 K 3.37
Se: 0.0000 0.0000 0.0000  2 Se 3.10, 4 K 3.37, 4 Tl 3.37
Tl: 0.0000 0.5000 0.5000  2 Tl 3.10, 8 Se 3.37

=====

6.
Below is crystalline KTlSe3 at its relaxed geometry, with properties calculated at the PBE-GGA level.

E	-14.24	eV/cell
space-group type	Pm-3m
mass density	4.77	g/cm³
energy relative to the elements, uncorrected	-0.065	eV/atom

Unit cell a=5.5080 b=5.5080 c=5.5080 alpha=90.00 beta=90.00 gamma=90.00
Last column: nearest neighbours and their distance in Å.
Atoms (fractional coordinates):
K: 0.5000 0.5000 0.5000  12 Se 3.89
Se: 0.5000 0.0000 0.0000  2 Tl 2.75
Se: 0.0000 0.5000 0.0000  2 Tl 2.75
Se: 0.0000 0.0000 0.5000  2 Tl 2.75
Tl: 0.0000 0.0000 0.0000  6 Se 2.75

=====

7.
Below is crystalline KTlSe4 at its relaxed geometry, with properties calculated at the PBE-GGA level.

E	-19.92	eV/cell
space-group type	P1
mass density	5.13	g/cm³
energy relative to the elements, uncorrected	-0.420	eV/atom

Unit cell a=5.4447 b=7.9743 c=6.4270 alpha=128.22 beta=116.24 gamma=90.01
Last column: nearest neighbours and their distance in Å.
Atoms (fractional coordinates):
Tl: 0.7094 0.2774 0.5539  5 Se 3.22-3.55
Se: 0.2867 0.1326 0.7498  2 Se 2.56-2.74
Se: 0.2831 0.6155 0.7423  2 Se 2.60-2.69
Se: 0.0385 0.6590 0.3206  2 Se 2.45-2.69
Se: 0.5204 0.5752 0.1531  3 Se 2.45-2.60
K: 0.9120 0.9904 0.9803  8 Se 3.46-3.76, 2 Tl 3.62-3.63

=====

8.
Below is crystalline K3TlSe2 at its relaxed geometry, with properties calculated at the PBE-GGA level.

E	-17.49	eV/cell
space-group type	Immm
mass density	3.82	g/cm³
energy relative to the elements, uncorrected	-0.810	eV/atom

Unit cell a=4.8581 b=4.8690 c=9.4567 alpha=104.89 beta=104.88 gamma=90.00
Last column: nearest neighbours and their distance in Å.
Atoms (fractional coordinates):
K: 0.1849 0.6842 0.3697  5 Se 3.30-3.58
K: 0.8151 0.3158 0.6303  5 Se 3.30-3.58
K: 0.5000 0.5000 0.0000  4 Se 3.31-3.32, 4 Tl 3.44
Tl: 0.0000 0.0000 0.0000  4 Se 3.31, 4 K 3.44
Se: 0.6277 0.1272 0.2554  7 K 3.30-3.58, 2 Tl 3.31
Se: 0.3723 0.8728 0.7446  7 K 3.30-3.58, 2 Tl 3.31

=====

9.
Below is crystalline KTlSe2 at its relaxed geometry, with properties calculated at the PBE-GGA level.

E	-12.68	eV/cell
space-group type	R3m
mass density	5.57	g/cm³
energy relative to the elements, uncorrected	-0.561	eV/atom

Unit cell a=4.2089 b=4.2089 c=8.1735 alpha=75.08 beta=75.08 gamma=60.00
Last column: nearest neighbours and their distance in Å.
Atoms (fractional coordinates):
K: 0.4996 0.4996 0.5012  6 Se 3.35-3.36
Tl: 0.6671 0.6671 0.9987  6 Se 2.90-2.91
Se: 0.0680 0.0680 0.7961  3 Tl 2.90
Se: 0.2654 0.2654 0.2039  3 Tl 2.91

=====

10.
Below is crystalline KTl2Se at its relaxed geometry, with properties calculated at the PBE-GGA level.

E	-10.65	eV/cell
space-group type	C2/m
mass density	6.71	g/cm³
energy relative to the elements, uncorrected	-0.333	eV/atom

Unit cell a=4.6344 b=6.9191 c=4.6217 alpha=70.30 beta=90.55 gamma=109.76
Last column: nearest neighbours and their distance in Å.
Atoms (fractional coordinates):
Tl: 0.0000 0.0000 0.0000  4 Tl 3.26-3.29, 2 K 3.45, 2 Se 3.45
Tl: 0.5000 0.0000 0.5000  4 Tl 3.26-3.29, 2 Se 3.45, 2 K 3.45
Se: 0.5000 0.5000 0.0000  4 K 3.26-3.29, 4 Tl 3.45
K: 0.0000 0.5000 0.5000  4 Se 3.26-3.29, 4 Tl 3.45

=====

11.
Below is crystalline KTlSe2 at its relaxed geometry, with properties calculated at the PBE-GGA level.

E	-104.45	eV/cell
space-group type	C2/c
mass density	4.80	g/cm³
energy relative to the elements, uncorrected	-0.656	eV/atom

Unit cell a=8.3748 b=8.3748 c=16.1635 alpha=81.88 beta=81.88 gamma=90.14
Last column: nearest neighbours and their distance in Å.
Atoms (fractional coordinates):
K: 0.1535 0.7379 0.3854  7 Se 3.32-3.66
K: 0.7416 0.6615 0.8758  7 Se 3.45-3.71
K: 0.2584 0.3385 0.1242  7 Se 3.45-3.71
K: 0.2621 0.8465 0.1146  7 Se 3.32-3.66
K: 0.3385 0.2584 0.6242  7 Se 3.45-3.71
K: 0.8465 0.2621 0.6146  7 Se 3.32-3.66
K: 0.7379 0.1535 0.8854  7 Se 3.32-3.66
K: 0.6615 0.7416 0.3758  7 Se 3.45-3.71
Se: 0.4266 0.5734 0.2500  2 Tl 2.71
Se: 0.0415 0.9585 0.7500  2 Tl 2.70
Se: 0.3158 0.6464 0.9477  2 Tl 2.68
Se: 0.3536 0.6842 0.5523  2 Tl 2.68
Se: 0.4294 0.0285 0.2672  2 Tl 2.67-2.74
Se: 0.2999 0.1357 0.9493  2 Tl 2.69-2.70
Se: 0.1357 0.2999 0.4493  2 Tl 2.69-2.70
Se: 0.8643 0.7001 0.5507  2 Tl 2.69-2.70
Se: 0.9585 0.0415 0.2500  2 Tl 2.70
Se: 0.6842 0.3536 0.0523  2 Tl 2.68
Se: 0.9715 0.5706 0.2328  2 Tl 2.67-2.74
Se: 0.6464 0.3158 0.4477  2 Tl 2.68
Se: 0.0285 0.4294 0.7672  2 Tl 2.67-2.74
Se: 0.5706 0.9715 0.7328  2 Tl 2.67-2.74
Se: 0.5734 0.4266 0.7500  2 Tl 2.71
Se: 0.7001 0.8643 0.0507  2 Tl 2.69-2.70
Tl: 0.7127 0.0812 0.1582  4 Se 2.68-2.74
Tl: 0.0812 0.7127 0.6582  4 Se 2.68-2.74
Tl: 0.2873 0.9188 0.8418  4 Se 2.68-2.74
Tl: 0.4194 0.2839 0.3496  4 Se 2.67-2.71
Tl: 0.2839 0.4194 0.8496  4 Se 2.67-2.71
Tl: 0.7161 0.5806 0.1504  4 Se 2.67-2.71
Tl: 0.5806 0.7161 0.6504  4 Se 2.67-2.71
Tl: 0.9188 0.2873 0.3418  4 Se 2.68-2.74

=====

12.
Below is crystalline KTlSe2 at its relaxed geometry, with properties calculated at the PBE-GGA level.

E	-11.91	eV/cell
space-group type	P4/mmm
mass density	5.98	g/cm³
energy relative to the elements, uncorrected	-0.368	eV/atom

Unit cell a=4.8526 b=4.8534 c=4.7301 alpha=90.00 beta=90.00 gamma=90.00
Last column: nearest neighbours and their distance in Å.
Atoms (fractional coordinates):
Tl: 0.5000 0.0000 0.5000  8 Se 3.39, 4 K 3.43
K: 0.0000 0.5000 0.5000  8 Se 3.39, 4 Tl 3.43
Se: 0.0000 0.0000 0.0000  4 Tl 3.39, 4 K 3.39, 4 Se 3.43
Se: 0.5000 0.5000 0.0000  4 K 3.39, 4 Tl 3.39, 4 Se 3.43